Below is crystalline Sr2TcNi at its relaxed geometry, with properties calculated at the PBE level.

Lattice parameters (Å, degrees): 9.4299 9.4299 9.4299 21.44 21.44 21.44
Site moments in Bohr magnetons follow the coordinates.
Fractional positions:
Ni (0.7500, 0.7500, 0.7500)  0.03
Sr (0.4952, 0.4952, 0.4952)  -0.01
Sr (0.0048, 0.0048, 0.0048)  -0.01
Tc (0.2500, 0.2500, 0.2500)  1.18

Output
- Calculated density: 5.62 Mg/m³
- ΔE_f: 0.951 eV per atom
- Total magnetization: 1.2 μB/f.u.